This record from Alexandria via LeMat-Bulk describes CoNi2Hg after structural relaxation. The functional is GGA-PBE.

## Properties
N(E_F): 1.8519 states/eV/atom
SG: P4/mmm (123)
energy of formation: 320 meV/atom

Lattice parameters (Å, degrees): 3.8172 3.8187 3.6687 90.00 90.00 90.00
With the nearest neighbours (Å) after each atom.
Fractional coordinates of all 4 atoms:
Co: 0.5000 0.0000 0.5000  8 Ni 2.65, 4 Hg 2.70
Hg: 0.0000 0.5000 0.5000  8 Ni 2.65, 4 Co 2.70
Ni: 0.0000 0.0000 0.0000  4 Co 2.65, 4 Hg 2.65, 4 Ni 2.70
Ni: 0.5000 0.5000 0.0000  4 Hg 2.65, 4 Co 2.65, 4 Ni 2.70

***

This record from Alexandria via LeMat-Bulk describes NdMgTcN3 after structural relaxation. The functional is GGA-PBE.

## Properties
N(E_F): 0.0253 states/eV/atom
SG: P2_1/m (11)
ΔE_f (raw): -0.62 eV per atom

Lattice parameters (Å, degrees): 3.3760 9.0130 6.0219 104.89 90.00 90.00
With the nearest neighbours (Å) after each atom.
Fractional coordinates of all 12 atoms:
Nd: 0.7500 0.6726 0.6530  6 N 2.44-2.59
Nd: 0.2500 0.3274 0.3470  6 N 2.44-2.59
Mg: 0.2500 0.6247 0.1257  5 N 2.23-2.33
Mg: 0.7500 0.3753 0.8743  5 N 2.23-2.33
Tc: 0.2500 0.0879 0.6436  1 N 1.77
Tc: 0.7500 0.9121 0.3564  1 N 1.77
N: 0.2500 0.8490 0.5182  3 Tc 2.09-2.10
N: 0.7500 0.7917 0.0742  1 Tc 1.77
N: 0.7500 0.4953 0.2471  3 Mg 2.23-2.28, 2 Nd 2.44
N: 0.7500 0.1510 0.4818  3 Tc 2.09-2.10
N: 0.2500 0.5047 0.7529  3 Mg 2.23-2.28, 2 Nd 2.44
N: 0.2500 0.2083 0.9258  1 Tc 1.77

***

Number 1 is which compound?
CoNi2Hg

***

What did the second record say?
This record from Alexandria via LeMat-Bulk describes NdMgTcN3 after structural relaxation. The functional is GGA-PBE.

## Properties
N(E_F): 0.0253 states/eV/atom
SG: P2_1/m (11)
ΔE_f (raw): -0.62 eV per atom

Lattice parameters (Å, degrees): 3.3760 9.0130 6.0219 104.89 90.00 90.00
With the nearest neighbours (Å) after each atom.
Fractional coordinates of all 12 atoms:
Nd: 0.7500 0.6726 0.6530  6 N 2.44-2.59
Nd: 0.2500 0.3274 0.3470  6 N 2.44-2.59
Mg: 0.2500 0.6247 0.1257  5 N 2.23-2.33
Mg: 0.7500 0.3753 0.8743  5 N 2.23-2.33
Tc: 0.2500 0.0879 0.6436  1 N 1.77
Tc: 0.7500 0.9121 0.3564  1 N 1.77
N: 0.2500 0.8490 0.5182  3 Tc 2.09-2.10
N: 0.7500 0.7917 0.0742  1 Tc 1.77
N: 0.7500 0.4953 0.2471  3 Mg 2.23-2.28, 2 Nd 2.44
N: 0.7500 0.1510 0.4818  3 Tc 2.09-2.10
N: 0.2500 0.5047 0.7529  3 Mg 2.23-2.28, 2 Nd 2.44
N: 0.2500 0.2083 0.9258  1 Tc 1.77